[1]
# CuBAs2Pb

An optimized crystal structure of CuBAs2Pb (PBE, Alexandria).

Summary:
volume: 29.03 Å³/atom
ΔH_f (0 K): 9.5 eV per formula unit
crystal system: tetragonal

Unit cell a=5.454 b=4.880 c=5.454 alpha=90.00 beta=90.00 gamma=90.00
Positions (direct):
Pb (0.000, 0.000, 0.000)
As (0.000, 0.000, 0.500)
As (0.500, 0.000, 0.000)
B (0.500, 0.500, 0.500)
Cu (0.000, 0.500, 0.000)

***

[2]
# PaGaSi2O8

An optimized crystal structure of PaGaSi2O8 (PBE, Alexandria).

Summary:
ΔE_f (raw): -2.651 eV per atom
volume: 11.54 Å³/atom
crystal system: tetragonal

Unit cell a=5.651 b=5.651 c=5.651 alpha=107.69 beta=107.69 gamma=113.09
Positions (direct):
Pa (0.000, 0.000, 0.000)
Ga (0.250, 0.750, 0.500)
Si (0.750, 0.250, 0.500)
Si (0.500, 0.500, 0.000)
O (0.393, 0.076, 0.317)
O (0.327, 0.518, 0.191)
O (0.327, 0.137, 0.809)
O (0.758, 0.076, 0.683)
O (0.863, 0.673, 0.191)
O (0.924, 0.242, 0.317)
O (0.924, 0.607, 0.683)
O (0.482, 0.673, 0.809)

***

[3]
# ZrSiMo2

An optimized crystal structure of ZrSiMo2 (PBE, Alexandria).

Summary:
ΔE_f (raw): -0.160 eV per atom
volume: 16.86 Å³/atom
crystal system: monoclinic

Unit cell a=4.888 b=4.888 c=4.653 alpha=75.57 beta=75.57 gamma=38.98
Positions (direct):
Mo (0.987, 0.987, 0.041)
Mo (0.513, 0.513, 0.459)
Si (0.250, 0.250, 0.250)
Zr (0.750, 0.750, 0.750)

***

[4]
# PmNd2TcN4

An optimized crystal structure of PmNd2TcN4 (PBE, Alexandria).

Summary:
ΔE_f (raw): -0.906 eV per atom
volume: 15.99 Å³/atom
crystal system: orthorhombic

Unit cell a=3.522 b=6.269 c=12.072 alpha=90.00 beta=90.00 gamma=106.32
Positions (direct):
Pm (0.125, 0.250, 0.750)
Pm (0.875, 0.750, 0.250)
Nd (0.368, 0.736, 0.540)
Nd (0.632, 0.264, 0.040)
Nd (0.632, 0.264, 0.460)
Nd (0.368, 0.736, 0.960)
Tc (0.855, 0.710, 0.750)
Tc (0.145, 0.290, 0.250)
N (0.268, 0.537, 0.136)
N (0.732, 0.463, 0.636)
N (0.732, 0.463, 0.864)
N (0.268, 0.537, 0.364)
N (0.000, 0.000, 0.500)
N (0.000, 0.000, 0.000)
N (0.432, 0.864, 0.750)
N (0.568, 0.136, 0.250)

***

[5]
# Pr8Te4P3Br

An optimized crystal structure of Pr8Te4P3Br (PBE, Alexandria).

Summary:
ΔE_f (raw): -1.514 eV per atom
volume: 29.79 Å³/atom
crystal system: trigonal

Unit cell a=8.655 b=8.885 c=8.655 alpha=119.14 beta=120.00 gamma=90.00
Positions (direct):
Pr (0.248, 0.717, 0.968)
Pr (0.248, 0.717, 0.497)
Pr (0.263, 0.288, 0.525)
Pr (0.720, 0.717, 0.968)
Pr (0.280, 0.283, 0.032)
Pr (0.737, 0.712, 0.475)
Pr (0.752, 0.283, 0.503)
Pr (0.752, 0.283, 0.032)
Te (0.500, 0.000, 0.000)
Te (0.500, 0.000, 0.500)
Te (0.000, 0.000, 0.000)
Te (0.000, 0.000, 0.500)
P (0.500, 0.500, 0.000)
P (0.500, 0.500, 0.500)
P (0.000, 0.500, 0.500)
Br (0.000, 0.500, 0.000)

***

[6]
# MnSbCI2

An optimized crystal structure of MnSbCI2 (PBE, Alexandria).

Summary:
ΔE_f (raw): 1.568 eV per atom
volume: 30.85 Å³/atom
ΔE to the lowest computed polymorph: 0.0000 eV per atom
crystal system: tetragonal

Unit cell a=5.412 b=5.412 c=5.267 alpha=90.00 beta=90.00 gamma=90.00
Positions (direct):
I (0.000, 0.500, 0.000)
I (0.500, 0.000, 0.000)
Sb (0.000, 0.000, 0.500)
C (0.500, 0.500, 0.500)
Mn (0.000, 0.000, 0.000)

***

[7]
# Si3Sn5Hg12

An optimized crystal structure of Si3Sn5Hg12 (PBE, Alexandria).

Summary:
ΔE_f (raw): 0.293 eV per atom
volume: 28.66 Å³/atom
crystal system: cubic

Unit cell a=14.388 b=14.388 c=14.388 alpha=109.47 beta=109.47 gamma=109.47
Positions (direct):
Si (0.750, 0.375, 0.125)
Si (0.875, 0.750, 0.125)
Si (0.375, 0.750, 0.625)
Si (0.250, 0.125, 0.375)
Si (0.875, 0.125, 0.250)
Si (0.375, 0.625, 0.250)
Si (0.625, 0.375, 0.750)
Si (0.125, 0.875, 0.750)
Si (0.750, 0.875, 0.625)
Si (0.625, 0.250, 0.375)
Si (0.125, 0.250, 0.875)
Si (0.250, 0.625, 0.875)
Sn (0.125, 0.375, 0.250)
Sn (0.000, 0.500, 0.000)
Sn (0.000, 0.000, 0.000)
Sn (0.375, 0.250, 0.125)
Sn (0.500, 0.000, 0.500)
Sn (0.500, 0.500, 0.000)
Sn (0.125, 0.750, 0.375)
Sn (0.750, 0.125, 0.875)
Sn (0.750, 0.625, 0.375)
Sn (0.375, 0.125, 0.750)
Sn (0.625, 0.875, 0.250)
Sn (0.500, 0.500, 0.500)
Sn (0.500, 0.000, 0.000)
Sn (0.000, 0.000, 0.500)
Sn (0.250, 0.375, 0.625)
Sn (0.250, 0.875, 0.125)
Sn (0.000, 0.500, 0.500)
Sn (0.875, 0.250, 0.625)
Sn (0.625, 0.750, 0.875)
Sn (0.875, 0.625, 0.750)
Hg (0.742, 0.130, 0.069)
Hg (0.328, 0.569, 0.440)
Hg (0.931, 0.370, 0.258)
Hg (0.569, 0.242, 0.130)
Hg (0.612, 0.742, 0.672)
Hg (0.931, 0.560, 0.172)
Hg (0.328, 0.758, 0.388)
Hg (0.060, 0.888, 0.130)
Hg (0.560, 0.931, 0.672)
Hg (0.742, 0.612, 0.172)
Hg (0.758, 0.431, 0.370)
Hg (0.828, 0.940, 0.069)
Hg (0.130, 0.742, 0.569)
Hg (0.370, 0.440, 0.112)
Hg (0.112, 0.940, 0.370)
Hg (0.388, 0.130, 0.560)
Hg (0.112, 0.172, 0.242)
Hg (0.431, 0.672, 0.060)
Hg (0.828, 0.888, 0.258)
Hg (0.130, 0.388, 0.060)
Hg (0.370, 0.931, 0.758)
Hg (0.560, 0.630, 0.388)
Hg (0.940, 0.828, 0.569)
Hg (0.758, 0.328, 0.888)
Hg (0.440, 0.370, 0.612)
Hg (0.060, 0.172, 0.431)
Hg (0.242, 0.672, 0.112)
Hg (0.172, 0.112, 0.742)
Hg (0.630, 0.069, 0.242)
Hg (0.870, 0.612, 0.940)
Hg (0.569, 0.328, 0.940)
Hg (0.612, 0.870, 0.440)
Hg (0.888, 0.828, 0.758)
Hg (0.888, 0.060, 0.630)
Hg (0.870, 0.258, 0.431)
Hg (0.172, 0.060, 0.931)
Hg (0.630, 0.560, 0.888)
Hg (0.440, 0.069, 0.328)
Hg (0.258, 0.388, 0.828)
Hg (0.242, 0.569, 0.630)
Hg (0.940, 0.112, 0.870)
Hg (0.672, 0.242, 0.612)
Hg (0.431, 0.758, 0.870)
Hg (0.069, 0.440, 0.828)
Hg (0.388, 0.258, 0.328)
Hg (0.069, 0.630, 0.742)
Hg (0.672, 0.431, 0.560)
Hg (0.258, 0.870, 0.931)

***

[8]
# Sb2PPd

An optimized crystal structure of Sb2PPd (PBE, Alexandria).

Summary:
ΔE_f (raw): -0.001 eV per atom
volume: 27.53 Å³/atom
crystal system: tetragonal

Unit cell a=6.113 b=6.113 c=7.309 alpha=65.28 beta=65.28 gamma=90.00
Positions (direct):
Sb (0.632, 0.125, 0.250)
Sb (0.118, 0.625, 0.250)
Sb (0.375, 0.368, 0.750)
Sb (0.875, 0.882, 0.750)
Pd (0.000, 0.000, 0.000)
Pd (0.750, 0.250, 0.500)
P (0.500, 0.500, 0.000)
P (0.250, 0.750, 0.500)

***

[9]
# Li3U3CuTe8

An optimized crystal structure of Li3U3CuTe8 (PBE, Alexandria).

Summary:
ΔE_f (raw): -0.608 eV per atom
volume: 29.39 Å³/atom
crystal system: trigonal

Unit cell a=8.466 b=8.464 c=8.625 alpha=119.39 beta=90.00 gamma=120.01
Positions (direct):
Li (0.000, 0.000, 0.000)
Li (0.000, 0.500, 0.000)
Li (0.500, 0.500, 0.000)
U (0.500, 0.000, 0.500)
U (0.500, 0.500, 0.500)
U (0.000, 0.500, 0.500)
Cu (0.000, 0.000, 0.500)
Te (0.245, 0.490, 0.235)
Te (0.755, 0.510, 0.765)
Te (0.758, 0.516, 0.256)
Te (0.242, 0.484, 0.744)
Te (0.758, 0.998, 0.256)
Te (0.242, 0.002, 0.744)
Te (0.240, 0.998, 0.256)
Te (0.760, 0.002, 0.744)

***

[10]
# SnP3Pd

An optimized crystal structure of SnP3Pd (PBE, Alexandria).

Summary:
volume: 21.19 Å³/atom
ΔH_f (0 K): 3.4 eV per formula unit
ΔE to the lowest computed polymorph: 0.0000 eV per atom
crystal system: cubic

Unit cell a=4.732 b=4.732 c=4.732 alpha=90.00 beta=90.00 gamma=90.00
Positions (direct):
P (0.000, 0.500, 0.000)
P (0.000, 0.000, 0.500)
P (0.500, 0.000, 0.000)
Sn (0.500, 0.500, 0.500)
Pd (0.000, 0.000, 0.000)